# Ac2Pr5Nd4

A relaxed structure of Ac2Pr5Nd4 (GGA-PBE, the Alexandria database).

Cell lengths 3.609, 9.163, 12.729 Å; angles 95.92, 98.15, 90.00 degrees
Element x y z (fractional)
Pr1 0.767 0.174 0.533
Pr2 0.500 0.000 0.000
Pr3 0.143 0.125 0.286
Pr4 0.233 0.826 0.467
Pr5 0.857 0.875 0.714
Nd1 0.320 0.527 0.641
Nd2 0.951 0.641 0.903
Nd3 0.680 0.473 0.359
Nd4 0.049 0.359 0.097
Ac1 0.090 0.736 0.180
Ac2 0.910 0.264 0.820

Values from the calculation:
energy of formation from the pure elements: 0.140 eV per atom
energy relative to the lowest polymorph listed for this composition: 0.012 eV per atom
space-group type: C2/m, No. 12

=====

# Mg2Zr2S

A relaxed structure of Mg2Zr2S (GGA-PBE, the Alexandria database).

Cell lengths 6.701, 6.701, 5.056 Å; angles 90.00, 90.00, 90.00 degrees
Element x y z (fractional)
Mg1 0.851 0.351 0.500
Mg2 0.149 0.649 0.500
Mg3 0.649 0.851 0.500
Mg4 0.351 0.149 0.500
S1 0.000 0.000 0.000
S2 0.500 0.500 0.000
Zr1 0.662 0.162 0.000
Zr2 0.338 0.838 0.000
Zr3 0.838 0.662 0.000
Zr4 0.162 0.338 0.000

Values from the calculation:
formation energy (no corrections): -0.468 eV per atom
space-group type: P4/mbm, No. 127

=====

# La3Pr2NpN6

A relaxed structure of La3Pr2NpN6 (GGA-PBE, the Alexandria database).

Cell lengths 6.306, 6.306, 6.334 Å; angles 99.55, 99.55, 119.89 degrees
Last column: magnetic moment on the atom in μB.
Element x y z (fractional)
N1 0.637 0.927 0.781  -0.05
N2 0.927 0.637 0.781  -0.05
N3 0.363 0.073 0.219  -0.05
N4 0.781 0.781 0.229  -0.04
N5 0.219 0.219 0.771  -0.04
N6 0.073 0.363 0.219  -0.05
La1 0.834 0.166 0.500  0.03
La2 0.166 0.834 0.500  0.03
La3 0.500 0.500 0.500  0.03
Pr1 0.666 0.334 0.000  0.02
Pr2 0.334 0.666 0.000  0.02
Np1 0.000 0.000 0.000  1.56

Values from the calculation:
formation energy (no corrections): -1.317 eV per atom
space-group type: C2/m, No. 12

=====

# Cs2AgAs2

A relaxed structure of Cs2AgAs2 (GGA-PBE, the Alexandria database).

Cell lengths 7.295, 7.295, 6.410 Å; angles 55.32, 55.32, 90.00 degrees
Element x y z (fractional)
Ag1 0.000 0.000 0.000
As1 0.660 0.660 0.680
As2 0.340 0.340 0.320
Cs1 0.250 0.750 0.500
Cs2 0.750 0.250 0.500

Values from the calculation:
energy of formation from the pure elements: -0.012 eV per atom
energy relative to the lowest polymorph listed for this composition: 0.128 eV per atom
space-group type: I4/mmm, No. 139

=====

# MgScH4

A relaxed structure of MgScH4 (GGA-PBE, the Alexandria database).

Cell lengths 3.334, 3.334, 4.752 Å; angles 89.98, 89.99, 90.00 degrees
Element x y z (fractional)
H1 0.501 0.997 0.749
H2 0.001 0.497 0.749
H3 0.001 0.497 0.248
H4 0.501 0.997 0.248
Sc1 0.501 0.497 0.998
Mg1 0.001 0.997 0.498

Values from the calculation:
space-group type: P4/mmm, No. 123

=====

# SrPr5Zn6

A relaxed structure of SrPr5Zn6 (GGA-PBE, the Alexandria database).

Cell lengths 5.279, 7.491, 8.369 Å; angles 90.00, 71.62, 90.00 degrees
Element x y z (fractional)
Zn1 0.500 0.261 0.000
Zn2 0.829 0.253 0.343
Zn3 0.829 0.747 0.343
Zn4 0.171 0.253 0.657
Zn5 0.171 0.747 0.657
Zn6 0.500 0.739 0.000
Sr1 0.000 0.000 0.000
Pr1 0.000 0.500 0.000
Pr2 0.334 0.500 0.332
Pr3 0.666 0.500 0.668
Pr4 0.335 0.000 0.330
Pr5 0.665 0.000 0.670

Values from the calculation:
energy of formation from the pure elements: -0.269 eV per atom
space-group type: Cmmm, No. 65

=====

no.,calculated density (g cm⁻³),V (Å³/f.u.),DFT total energy (eV per atom)
1,6.96,414,-4.513
2,3.85,114,-5.350
3,8.22,206,-8.586
4,4.29,203,-2.784
5,2.30,53,-3.957
6,6.26,314,-3.038